[1]
CaYTlAg | PBE-GGA | optimized geometry

Its energy relative to the elements is -142 kJ/mol of formula units. The density of states at the Fermi level is 0.7981 states/eV/atom.

a = 7.496 Å, b = 7.496 Å, c = 7.496 Å
α = 90.00°, β = 90.00°, γ = 90.00°
Space group F-43m (No. 216)
Symmetry-distinct sites (fractional):
Ca (0.000, 0.000, 0.000) [4 per cell]
Y (0.000, 0.000, 0.500) [4 per cell]
Tl (0.250, 0.250, 0.250) [4 per cell]
Ag (0.250, 0.250, 0.750) [4 per cell]

[2]
KBi2Te2 | PBE-GGA | optimized geometry

For the raw formation energy, the calculation gives -0.228 eV/atom. The density of states at the Fermi level is 0.2981 states/eV/atom.

a = 9.328 Å, b = 9.328 Å, c = 4.156 Å
α = 90.00°, β = 90.00°, γ = 90.00°
Space group P4/mbm (No. 127)
Symmetry-distinct sites (fractional):
K (0.000, 0.000, 0.000) [2 per cell]
Bi (0.173, 0.327, 0.500) [4 per cell]
Te (0.162, 0.662, 0.000) [4 per cell]

[3]
CsPrSnS4 | PBE-GGA | optimized geometry

For the raw formation energy, the calculation gives -1.234 eV/atom. The density of states at the Fermi level is 0.0000 states/eV/atom.

a = 6.943 Å, b = 7.046 Å, c = 9.652 Å
α = 90.00°, β = 107.74°, γ = 90.00°
Space group P2_1/m (No. 11)
Symmetry-distinct sites (fractional):
Cs (0.234, 0.250, 0.439) [2 per cell]
Pr (0.281, 0.250, 0.951) [2 per cell]
Sn (0.265, 0.750, 0.163) [2 per cell]
S (0.043, 0.750, 0.919) [2 per cell]
S (0.059, 0.750, 0.320) [2 per cell]
S (0.494, 0.508, 0.805) [4 per cell]

[4]
ZrCuRe2 | PBE-GGA | optimized geometry

Its energy relative to the elements is 41 kJ/mol of formula units. The density of states at the Fermi level is 1.0652 states/eV/atom.

a = 2.894 Å, b = 3.908 Å, c = 5.697 Å
α = 90.00°, β = 90.00°, γ = 90.00°
Space group Pmm2 (No. 25)
Symmetry-distinct sites (fractional):
Zr (0.000, 0.000, 0.000) [1 per cell]
Cu (0.500, 0.500, 0.251) [1 per cell]
Re (0.000, 0.000, 0.509) [1 per cell]
Re (0.500, 0.500, 0.711) [1 per cell]

[5]
MgZn2Pb | PBE-GGA | optimized geometry

Its energy relative to the elements is 26 kJ/mol of formula units. The density of states at the Fermi level is 0.3371 states/eV/atom.

a = 4.735 Å, b = 4.742 Å, c = 7.608 Å
α = 90.00°, β = 90.00°, γ = 90.00°
Space group Cmmm (No. 65)
Symmetry-distinct sites (fractional):
Mg (0.000, 0.000, 0.000) [2 per cell]
Zn (0.000, 0.500, 0.217) [4 per cell]
Pb (0.000, 0.000, 0.500) [2 per cell]

[6]
BaHf2S6 | PBE-GGA | optimized geometry

For the raw formation energy, the calculation gives -1.138 eV/atom. The density of states at the Fermi level is 0.5145 states/eV/atom.

a = 12.608 Å, b = 12.608 Å, c = 12.608 Å
α = 90.00°, β = 90.00°, γ = 90.00°
Space group Fd-3m (No. 227, origin choice 2)
Symmetry-distinct sites (fractional):
Ba (0.125, 0.125, 0.125) [8 per cell]
Hf (0.000, 0.000, 0.500) [16 per cell]
S (0.094, 0.375, 0.875) [48 per cell]

[7]
DySc2Fe | PBE-GGA | optimized geometry

Its energy relative to the elements is -22 kJ/mol of formula units. The density of states at the Fermi level is 1.1802 states/eV/atom.

a = 6.810 Å, b = 8.584 Å, c = 5.958 Å
α = 90.00°, β = 90.00°, γ = 90.00°
Space group Pnma (No. 62)
Symmetry-distinct sites (fractional):
Dy (0.044, 0.250, 0.126) [4 per cell]
Sc (0.172, 0.066, 0.664) [8 per cell]
Fe (0.110, 0.750, 0.444) [4 per cell]

[8]
TbTa2CrC4 | PBE-GGA | optimized geometry

Its energy relative to the elements is -282 kJ/mol of formula units. The density of states at the Fermi level is 0.4117 states/eV/atom.

a = 3.204 Å, b = 11.141 Å, c = 10.988 Å
α = 90.00°, β = 90.00°, γ = 90.00°
Space group Cmcm (No. 63)
Symmetry-distinct sites (fractional):
Tb (0.000, 0.101, 0.250) [4 per cell]
Ta (0.000, 0.370, 0.041) [8 per cell]
Cr (0.000, 0.166, 0.750) [4 per cell]
C (0.000, 0.000, 0.000) [4 per cell]
C (0.000, 0.264, 0.616) [8 per cell]
C (0.000, 0.430, 0.250) [4 per cell]

Uncorrected energy? In order: -15.2, -16.3, -34.8, -37.1, -7.6, -56.8, -26.0, -77.8 eV per formula unit.